Density functional theory data (PBE) for a geometry-optimized Nd4Dy5Y4 structure.

Cell: 9.5201 9.5201 9.5201 Å, 94.07 94.07 149.11°
Fractional coordinates of all 13 atoms:
Nd 0.0778 0.6170 0.6948
Nd 0.3830 0.0778 0.4608
Nd 0.6170 0.9222 0.5392
Nd 0.9222 0.3830 0.3052
Dy 0.0000 0.0000 0.0000
Dy 0.3105 0.4614 0.7719
Dy 0.4614 0.6895 0.1509
Dy 0.5386 0.3105 0.8491
Dy 0.6895 0.5386 0.2281
Y 0.1529 0.2291 0.3821
Y 0.2291 0.8471 0.0762
Y 0.7709 0.1529 0.9238
Y 0.8471 0.7709 0.6179

The calculation puts the total magnetic moment at 0.00 μB/f.u. As for the space group: I4/m (87). The energy comes out at -5.207 eV per atom. The density of states at the Fermi level is 18.60 states/eV/f.u.

***

Density functional theory data (PBE) for a geometry-optimized Nd4DyY3 structure.

Cell: 11.6354 7.3628 6.3521 Å, 90.00 90.00 90.00°
Fractional coordinates of all 16 atoms:
Nd 0.0000 0.1268 0.0000
Nd 0.0000 0.8733 0.4995
Nd 0.2494 0.8736 0.8314
Nd 0.2506 0.1264 0.3314
Nd 0.5000 0.1267 0.9995
Nd 0.5000 0.8732 0.5000
Nd 0.7494 0.1264 0.3314
Nd 0.7506 0.8736 0.8314
Dy 0.0000 0.6229 0.9974
Dy 0.5000 0.3771 0.4974
Y 0.0000 0.3780 0.4976
Y 0.2498 0.3777 0.8320
Y 0.2502 0.6223 0.3320
Y 0.5000 0.6220 0.9976
Y 0.7502 0.3777 0.8320
Y 0.7498 0.6223 0.3320

As for the energy above the most stable polymorph in this dataset: 0.000 eV/atom. The calculation puts the total magnetic moment at 0.00 μB/f.u. As for the space group: Pmn2_1 (31). The energy comes out at -5.360 eV per atom. The density of states at the Fermi level is 15.07 states/eV/f.u.

***

Density functional theory data (PBE) for a geometry-optimized Nd2DyY structure.

Cell: 11.9153 11.9153 11.9153 Å, 17.50 17.50 17.50°
Fractional coordinates of all 4 atoms:
Nd 0.2503 0.2503 0.2503
Nd 0.7497 0.7497 0.7497
Dy 0.0000 0.0000 0.0000
Y 0.5000 0.5000 0.5000

As for the energy above the most stable polymorph in this dataset: 0.000 eV/atom. The calculation puts the total magnetic moment at 0.00 μB/f.u. As for the space group: R-3m (166). The energy comes out at -5.140 eV per atom. The density of states at the Fermi level is 4.67 states/eV/f.u.